[1]
Hf2NpGe | the Alexandria database | PBE-GGA | relaxed; energy of formation = 0.0702 eV per atom; E = -37.184 eV per formula unit; space group = No. 166
1.0
-1.0693 1.5884 -2.5671
-1.7502 -1.5204 -2.2094
-8.9341 2.3204 3.1594
Np Ge Hf
1 1 2
direct
0.0000 0.0000 0.0000 Np
0.5000 0.5000 0.5000 Ge
0.2435 0.2435 0.2696 Hf
0.7565 0.7565 0.7304 Hf

[2]
HfNpGe2 | the Alexandria database | PBE-GGA | relaxed; energy of formation = -0.2763 eV per atom; E = -33.234 eV per formula unit; space group = No. 166; polymorph energy (0 for the lowest one) = 0.000 eV per atom
1.0
-0.9850 -2.2729 2.9980
1.1072 -3.7275 0.0602
5.7486 -0.2531 4.2193
Np Ge Hf
1 2 1
direct
0.5000 0.5000 0.5000 Np
0.2560 0.2560 0.2320 Ge
0.7440 0.7440 0.7680 Ge
0.0000 0.0000 0.0000 Hf

[3]
HfNpGe | the Alexandria database | PBE-GGA | relaxed; energy of formation = -0.2338 eV per atom; E = -28.213 eV per formula unit; space group = No. 63
1.0
-2.6442 1.7789 1.8609
-1.5658 -3.5551 1.1735
5.8166 -0.7917 5.3624
Ge Np Hf
2 2 2
direct
0.4058 0.3755 0.8117 Ge
0.5942 0.8755 0.1883 Ge
0.7413 0.3755 0.4826 Np
0.2587 0.8755 0.5174 Np
0.0735 0.3755 0.1471 Hf
0.9265 0.8755 0.8529 Hf

[4]
HfGe3O | the Alexandria database | PBE-GGA | relaxed; E = -29.822 eV per formula unit; space group = No. 221; ΔE_f (raw) = -0.212 eV per atom; polymorph energy (0 for the lowest one) = 0.000 eV per atom
1.0
4.3454 0.0000 0.0000
0.0000 4.3454 0.0000
0.0000 0.0000 4.3454
Ge Hf O
3 1 1
direct
0.0000 0.5000 0.0000 Ge
0.0000 0.0000 0.5000 Ge
0.5000 0.0000 0.0000 Ge
0.5000 0.5000 0.5000 Hf
0.0000 0.0000 0.0000 O

[5]
HfGe3O | the Alexandria database | PBE-GGA | relaxed; E = -24.163 eV per formula unit; space group = No. 221; ΔE_f (raw) = 0.920 eV per atom; polymorph energy (0 for the lowest one) = 1.132 eV per atom
1.0
-3.0824 1.6033 3.8372
3.2065 -2.1251 3.4638
2.6481 4.4395 0.2723
Ge Hf O
3 1 1
direct
0.0000 0.5000 0.0000 Ge
0.0000 0.0000 0.5000 Ge
0.5000 0.0000 0.0000 Ge
0.0000 0.0000 0.0000 Hf
0.5000 0.5000 0.5000 O

[6]
Hf3GeO | the Alexandria database | PBE-GGA | relaxed; E = -44.258 eV per formula unit; space group = No. 221; ΔE_f (raw) = -0.964 eV per atom; polymorph energy (0 for the lowest one) = 0.000 eV per atom
1.0
-4.1501 -0.7172 -1.2215
-0.4839 -2.8364 3.3092
-1.3313 3.2666 2.6052
Ge Hf O
1 3 1
direct
0.5000 0.5000 0.5000 Ge
0.0000 0.5000 0.0000 Hf
0.0000 0.0000 0.5000 Hf
0.5000 0.0000 0.0000 Hf
0.0000 0.0000 0.0000 O

[7]
Hf4Ge2O | the Alexandria database | PBE-GGA | relaxed; E = -60.559 eV per formula unit; space group = No. 139; ΔE_f (raw) = -0.936 eV per atom
1.0
-0.2400 -2.0441 3.5832
1.7848 -3.2874 -1.7558
7.4672 -0.0635 2.8467
Ge Hf O
2 4 1
direct
0.3621 0.3621 0.2758 Ge
0.6379 0.6379 0.7242 Ge
0.1795 0.1795 0.6410 Hf
0.8205 0.8205 0.3590 Hf
0.0000 0.5000 0.0000 Hf
0.5000 0.0000 0.0000 Hf
0.0000 0.0000 0.0000 O

[8]
HfGe2O6 | the Alexandria database | PBE-GGA | relaxed; E = -69.264 eV per formula unit; space group = No. 15; ΔE_f (raw) = -2.259 eV per atom
1.0
-1.9228 -3.5209 -4.0465
1.2896 -6.3734 2.5101
-6.5759 -1.3497 1.8763
Hf Ge O
2 4 12
direct
0.2500 0.1071 0.8929 Hf
0.7500 0.8929 0.1071 Hf
0.2472 0.6199 0.7861 Ge
0.2528 0.2139 0.3801 Ge
0.7528 0.3801 0.2139 Ge
0.7472 0.7861 0.6199 Ge
0.5508 0.6203 0.6507 O
0.9492 0.3493 0.3797 O
0.4492 0.3797 0.3493 O
0.0508 0.6507 0.6203 O
0.7640 0.9031 0.3854 O
0.7360 0.6146 0.0969 O
0.2360 0.0969 0.6146 O
0.2640 0.3854 0.9031 O
0.1279 0.8248 0.9485 O
0.3721 0.0515 0.1752 O
0.8721 0.1752 0.0515 O
0.6279 0.9485 0.8248 O

Number 1: theoretical density 13.0 g cm⁻³, total moment 3.76 μB per cell. Number 2: theoretical density 10.5 g cm⁻³, total moment 3.45 μB per cell. Number 3: theoretical density 14.0 g cm⁻³, total moment 4.62 μB per cell. Number 4: theoretical density 8.3 g cm⁻³, total moment 0.00 μB per cell. Number 5: theoretical density 4.9 g cm⁻³, total moment 1.98 μB per cell. Number 6: theoretical density 12.3 g cm⁻³, total moment 0.00 μB per cell. Number 7: theoretical density 11.4 g cm⁻³, total moment 0.00 μB per cell. Number 8: theoretical density 5.4 g cm⁻³, total moment 0.00 μB per cell.